# PBE-GGA NaP2AuS, relaxed
# electronic total energy = -2.475 eV/atom
# crystal system = tetragonal
# Fermi-level density of states = 3.90 states/eV/f.u.
# energy relative to the lowest polymorph listed for this composition = 851.3 meV per atom
# formation energy (no corrections) = 1.433 eV/atom
data_NaP2AuS
_chemical_formula_sum 'Na1 P2 Au1 S1'
_cell_length_a 4.8569
_cell_length_b 4.8569
_cell_length_c 4.7538
_cell_angle_alpha 90.00
_cell_angle_beta 90.00
_cell_angle_gamma 90.00
_symmetry_space_group_name_H-M 'P 4/m m m'
_symmetry_Int_Tables_number 123
_symmetry_space_group_name_Hall '-P 4 2'
loop_
_atom_site_label
_atom_site_type_symbol
_atom_site_fract_x
_atom_site_fract_y
_atom_site_fract_z
Na1 Na 0.0000 0.0000 0.0000
P1 P 0.0000 0.5000 0.0000
Au1 Au 0.5000 0.5000 0.5000
S1 S 0.0000 0.0000 0.5000